# 1
Density functional theory data (PBE-GGA) for Mn2VN after structural relaxation.

Structure (POSCAR):
```
Mn2VN
1.0
-3.249 3.249 2.072
3.249 -3.249 2.072
3.249 3.249 -2.072
Mn V N
4 2 2
Direct
0.001 0.625 0.876
0.375 0.251 0.376
0.749 0.125 0.124
0.875 0.999 0.624
0.250 0.750 0.500
0.500 0.500 0.000
0.000 0.000 0.000
0.750 0.250 0.500
```

The space-group type is I-42d. The uncorrected formation energy is -0.1853 eV/atom.



# 2
Density functional theory data (PBE-GGA) for SmNpIr2 after structural relaxation.

Structure (POSCAR):
```
SmNpIr2
1.0
2.253 1.301 5.023
-2.253 1.301 5.023
0.000 -2.601 5.023
Sm Np Ir
1 1 2
Direct
0.000 0.000 0.000
0.500 0.500 0.500
0.217 0.217 0.217
0.783 0.783 0.783
```

Its total energy is -37.27 eV per cell. The space-group type is R-3m.



# 3
Density functional theory data (PBE-GGA) for AlNi14Mo after structural relaxation.

Structure (POSCAR):
```
AlNi14Mo
1.0
5.041 0.000 0.000
0.000 5.041 0.000
0.000 0.000 7.087
Al Ni Mo
1 14 1
Direct
0.000 0.000 0.000
0.000 0.000 0.500
0.000 0.500 0.000
0.000 0.500 0.500
0.250 0.250 0.254
0.250 0.250 0.746
0.250 0.750 0.254
0.250 0.750 0.746
0.500 0.000 0.000
0.500 0.000 0.500
0.500 0.500 0.500
0.750 0.250 0.254
0.750 0.250 0.746
0.750 0.750 0.254
0.750 0.750 0.746
0.500 0.500 0.000
```

Its total energy is -97.32 eV per cell. The space-group type is P4/mmm.



# 4
Density functional theory data (PBE-GGA) for PaNiSn2Se5 after structural relaxation.

Structure (POSCAR):
```
PaNiSn2Se5
1.0
2.026 -9.572 0.000
2.026 9.572 0.000
0.000 0.000 12.729
Pa Ni Sn Se
2 2 4 10
Direct
0.192 0.808 0.500
0.808 0.192 0.000
0.424 0.576 0.927
0.576 0.424 0.427
0.077 0.923 0.740
0.136 0.864 0.112
0.864 0.136 0.612
0.923 0.077 0.240
0.044 0.956 0.516
0.283 0.717 0.151
0.311 0.689 0.851
0.340 0.660 0.465
0.482 0.518 0.760
0.518 0.482 0.260
0.660 0.340 0.965
0.689 0.311 0.351
0.717 0.283 0.651
0.956 0.044 0.016
```

The space-group type is Cmc2_1. The uncorrected formation energy is -0.7073 eV/atom.



# 5
Density functional theory data (PBE-GGA) for Tb2SiNi6Ge after structural relaxation.

Structure (POSCAR):
```
Tb2SiNi6Ge
1.0
6.032 0.000 0.000
2.989 5.249 0.000
2.959 1.698 5.111
Tb Si Ni Ge
2 1 6 1
Direct
0.219 0.220 0.344
0.781 0.780 0.656
0.000 0.000 0.000
0.241 0.251 0.852
0.249 0.648 0.861
0.349 0.763 0.142
0.651 0.237 0.858
0.751 0.352 0.139
0.759 0.749 0.148
0.500 0.500 0.500
```

The space-group type is P-1. The uncorrected formation energy is -0.4156 eV/atom.



# 6
Density functional theory data (PBE-GGA) for Y2CoCl after structural relaxation.

Structure (POSCAR):
```
Y2CoCl
1.0
3.315 -1.916 0.000
3.315 1.916 0.000
-2.193 0.000 7.364
Y Co Cl
2 1 1
Direct
0.232 0.232 0.200
0.768 0.768 0.800
0.500 0.500 0.000
0.000 0.000 0.500
```

The space-group type is C2/m. The uncorrected formation energy is -0.8259 eV/atom.



The records above give, respectively, total magnetic moment values of 2.0 2.8 4.6 0.5 0.0 0.0 μB/f.u..
The records above give, respectively, DOS at the Fermi energy values of 0.828 1.123 1.654 0.605 0.620 0.347 states/eV/atom.